1.
The following is a DFT calculation (PBE-GGA) of crystalline HgAsPb2 at its relaxed geometry.

The structure in CIF format:
```
data_HgAsPb2
_chemical_formula_sum 'Hg4 As4 Pb8'
_cell_length_a 7.5949
_cell_length_b 7.5949
_cell_length_c 7.5949
_cell_angle_alpha 90.00
_cell_angle_beta 90.00
_cell_angle_gamma 90.00
_space_group_name_H-M_alt 'F m -3 m'
_space_group_IT_number 225
_space_group_name_Hall '-F 4 2 3'
loop_
_atom_site_label
_atom_site_type_symbol
_atom_site_fract_x
_atom_site_fract_y
_atom_site_fract_z
_atom_site_occupancy
Hg1 Hg 0.0000 0.0000 0.0000 1
As1 As 0.0000 0.0000 0.5000 1
Pb1 Pb 0.2500 0.2500 0.2500 1
```

Computed properties:
* offset from the most stable computed form: 9.0 kJ per mole of atoms
* E: -12.01 eV per formula unit
* DFT formation energy: 0.090 eV per atom

---

2.
The following is a DFT calculation (PBE-GGA) of crystalline CdRe2Te at its relaxed geometry.

The structure in CIF format:
```
data_CdRe2Te
_chemical_formula_sum 'Cd2 Re4 Te2'
_cell_length_a 2.9860
_cell_length_b 4.9094
_cell_length_c 10.0614
_cell_angle_alpha 90.00
_cell_angle_beta 90.00
_cell_angle_gamma 90.00
_space_group_name_H-M_alt 'C m m m'
_space_group_IT_number 65
_space_group_name_Hall '-C 2 2'
loop_
_atom_site_label
_atom_site_type_symbol
_atom_site_fract_x
_atom_site_fract_y
_atom_site_fract_z
_atom_site_occupancy
Cd1 Cd 0.0000 0.0000 0.0000 1
Re1 Re 0.0000 0.5000 0.2447 1
Te1 Te 0.0000 0.0000 0.5000 1
```

Computed properties:
* offset from the most stable computed form: 71.3 kJ per mole of atoms
* E: -24.48 eV per formula unit

---

3.
The following is a DFT calculation (PBE-GGA) of crystalline PmPrSmEr2 at its relaxed geometry.

The structure in CIF format:
```
data_PmPrSmEr2
_chemical_formula_sum 'Pm4 Pr4 Sm4 Er8'
_cell_length_a 8.4481
_cell_length_b 11.6180
_cell_length_c 7.1814
_cell_angle_alpha 90.00
_cell_angle_beta 90.00
_cell_angle_gamma 90.00
_space_group_name_H-M_alt 'C m c m'
_space_group_IT_number 63
_space_group_name_Hall '-C 2c 2'
loop_
_atom_site_label
_atom_site_type_symbol
_atom_site_fract_x
_atom_site_fract_y
_atom_site_fract_z
_atom_site_occupancy
Pm1 Pm 0.0000 0.0009 0.2500 1
Pr1 Pr 0.0000 0.2712 0.7500 1
Sm1 Sm 0.0000 0.2758 0.2500 1
Er1 Er 0.1868 0.5000 0.0000 1
```

Computed properties:
* E: -21.58 eV per formula unit
* DFT formation energy: 0.359 eV per atom

---

4.
The following is a DFT calculation (PBE-GGA) of crystalline Rb2HfGaBr6 at its relaxed geometry.

The structure in CIF format:
```
data_Rb2HfGaBr6
_chemical_formula_sum 'Rb8 Hf4 Ga4 Br24'
_cell_length_a 11.3857
_cell_length_b 11.3857
_cell_length_c 11.3857
_cell_angle_alpha 90.00
_cell_angle_beta 90.00
_cell_angle_gamma 90.00
_space_group_name_H-M_alt 'F m -3 m'
_space_group_IT_number 225
_space_group_name_Hall '-F 4 2 3'
loop_
_atom_site_label
_atom_site_type_symbol
_atom_site_fract_x
_atom_site_fract_y
_atom_site_fract_z
_atom_site_occupancy
Rb1 Rb 0.2500 0.2500 0.2500 1
Hf1 Hf 0.0000 0.0000 0.0000 1
Ga1 Ga 0.0000 0.0000 0.5000 1
Br1 Br 0.0000 0.0000 0.2347 1
```

Computed properties:
* offset from the most stable computed form: 1.8 kJ per mole of atoms
* E: -37.64 eV per formula unit

---

5.
The following is a DFT calculation (PBE-GGA) of crystalline Tb6Bi2Te3As at its relaxed geometry.

The structure in CIF format:
```
data_Tb6Bi2Te3As
_chemical_formula_sum 'Tb12 Bi4 Te6 As2'
_cell_length_a 19.1803
_cell_length_b 4.3557
_cell_length_c 8.7928
_cell_angle_alpha 90.00
_cell_angle_beta 103.18
_cell_angle_gamma 90.00
_space_group_name_H-M_alt 'C 1 2/m 1'
_space_group_IT_number 12
_space_group_name_Hall '-C 2y'
loop_
_atom_site_label
_atom_site_type_symbol
_atom_site_fract_x
_atom_site_fract_y
_atom_site_fract_z
_atom_site_occupancy
Tb1 Tb 0.0009 0.0000 0.2784 1
Tb2 Tb 0.1523 0.5000 0.5764 1
Tb3 Tb 0.1643 0.5000 0.0823 1
Bi1 Bi 0.1672 0.0000 0.8335 1
Te1 Te 0.0000 0.5000 0.0000 1
Te2 Te 0.1707 0.0000 0.3368 1
As1 As 0.0000 0.5000 0.5000 1
```

Computed properties:
* E: -64.48 eV per formula unit

---

6.
The following is a DFT calculation (PBE-GGA) of crystalline K3Pu2PaSe6 at its relaxed geometry.

The structure in CIF format:
```
data_K3Pu2PaSe6
_chemical_formula_sum 'K6 Pu4 Pa2 Se12'
_cell_length_a 7.3995
_cell_length_b 12.8157
_cell_length_c 8.0675
_cell_angle_alpha 90.00
_cell_angle_beta 107.81
_cell_angle_gamma 90.00
_space_group_name_H-M_alt 'C 1 2/m 1'
_space_group_IT_number 12
_space_group_name_Hall '-C 2y'
loop_
_atom_site_label
_atom_site_type_symbol
_atom_site_fract_x
_atom_site_fract_y
_atom_site_fract_z
_atom_site_occupancy
K1 K 0.0000 0.0000 0.0000 1
K2 K 0.0000 0.3312 0.0000 1
Pu1 Pu 0.0000 0.1665 0.5000 1
Pa1 Pa 0.0000 0.5000 0.5000 1
Se1 Se 0.2310 0.3379 0.7069 1
Se2 Se 0.2451 0.0000 0.7069 1
```

Computed properties:
* E: -79.88 eV per formula unit

---

7.
The following is a DFT calculation (PBE-GGA) of crystalline LiPuU2S5 at its relaxed geometry.

The structure in CIF format:
```
data_LiPuU2S5
_chemical_formula_sum 'Li4 Pu4 U8 S20'
_cell_length_a 7.1063
_cell_length_b 7.1063
_cell_length_c 13.3981
_cell_angle_alpha 90.00
_cell_angle_beta 90.00
_cell_angle_gamma 90.00
_space_group_name_H-M_alt 'I 4/m c m'
_space_group_IT_number 140
_space_group_name_Hall '-I 4 2c'
loop_
_atom_site_label
_atom_site_type_symbol
_atom_site_fract_x
_atom_site_fract_y
_atom_site_fract_z
_atom_site_occupancy
Li1 Li 0.0000 0.5000 0.2500 1
Pu1 Pu 0.0000 0.0000 0.2500 1
U1 U 0.1221 0.3779 0.0000 1
S1 S 0.0000 0.0000 0.0000 1
S2 S 0.1763 0.3237 0.3580 1
```

Computed properties:
* E: -71.90 eV per formula unit

---

8.
The following is a DFT calculation (PBE-GGA) of crystalline Er8ZnAg2 at its relaxed geometry.

The structure in CIF format:
```
data_Er8ZnAg2
_chemical_formula_sum 'Er16 Zn2 Ag4'
_cell_length_a 17.5419
_cell_length_b 5.1418
_cell_length_c 6.8281
_cell_angle_alpha 90.00
_cell_angle_beta 107.13
_cell_angle_gamma 90.00
_space_group_name_H-M_alt 'C 1 2/m 1'
_space_group_IT_number 12
_space_group_name_Hall '-C 2y'
loop_
_atom_site_label
_atom_site_type_symbol
_atom_site_fract_x
_atom_site_fract_y
_atom_site_fract_z
_atom_site_occupancy
Er1 Er 0.0278 0.0000 0.2820 1
Er2 Er 0.0932 0.5000 0.9562 1
Er3 Er 0.1665 0.5000 0.4750 1
Er4 Er 0.1969 0.0000 0.8099 1
Zn1 Zn 0.0000 0.5000 0.5000 1
Ag1 Ag 0.1835 0.0000 0.2181 1
```

Computed properties:
* E: -45.14 eV per formula unit
* DFT formation energy: -0.151 eV per atom